No. 1
DFT (GGA-PBE) results for NdBe2Pd2Au after structural relaxation. Values from VASP.

Cell and atoms, written as Quantum ESPRESSO input:
```
&SYSTEM
  ibrav = 0, nat = 6, ntyp = 4
/
ATOMIC_SPECIES
Nd 144.24 Nd.upf
Be 9.01 Be.upf
Pd 106.42 Pd.upf
Au 196.97 Au.upf
ATOMIC_POSITIONS crystal
Nd 0.000 0.000 0.000
Be 0.000 0.500 0.500
Be 0.500 0.000 0.500
Pd 0.500 0.500 0.254
Pd 0.500 0.500 0.746
Au 0.000 0.000 0.500
CELL_PARAMETERS angstrom
4.315 0.000 0.000
0.000 4.315 0.000
0.000 0.000 5.712
```

Properties
The density of states at the Fermi level is 3.46 states/eV per cell. Its calculated total energy is -4.616 eV/atom. The formation energy is -302 meV per atom. Its crystal system is tetragonal.

No. 2
DFT (GGA-PBE) results for TiRe2AsF after structural relaxation. Values from VASP.

Cell and atoms, written as Quantum ESPRESSO input:
```
&SYSTEM
  ibrav = 0, nat = 5, ntyp = 4
/
ATOMIC_SPECIES
Ti 47.87 Ti.upf
Re 186.21 Re.upf
As 74.92 As.upf
F 19.00 F.upf
ATOMIC_POSITIONS crystal
Ti 0.000 0.000 0.000
Re 0.000 0.500 0.500
Re 0.500 0.000 0.500
As 0.500 0.500 0.000
F 0.000 0.000 0.500
CELL_PARAMETERS angstrom
4.339 0.000 0.000
0.000 4.339 0.000
0.000 0.000 3.987
```

Properties
The density of states at the Fermi level is 5.83 states/eV per cell. Its calculated total energy is -7.128 eV/atom. Its crystal system is tetragonal. The formation energy from raw total energies is 0.735 eV/atom.

No. 3
DFT (GGA-PBE) results for Cs3SiO after structural relaxation. Values from VASP.

Cell and atoms, written as Quantum ESPRESSO input:
```
&SYSTEM
  ibrav = 0, nat = 5, ntyp = 3
/
ATOMIC_SPECIES
Cs 132.91 Cs.upf
Si 28.09 Si.upf
O 16.00 O.upf
ATOMIC_POSITIONS crystal
Cs 0.000 0.000 0.500
Cs 0.000 0.500 0.000
Cs 0.500 0.000 0.000
Si 0.500 0.500 0.500
O 0.000 0.000 0.000
CELL_PARAMETERS angstrom
5.946 0.000 0.000
0.000 5.946 0.000
0.000 0.000 5.946
```

Properties
The density of states at the Fermi level is 7.67 states/eV per cell. Its calculated total energy is -2.766 eV/atom. Its crystal system is cubic. The formation energy from raw total energies is -0.178 eV/atom.

No. 4
DFT (GGA-PBE) results for CuHSe2F after structural relaxation. Values from VASP.

Cell and atoms, written as Quantum ESPRESSO input:
```
&SYSTEM
  ibrav = 0, nat = 5, ntyp = 4
/
ATOMIC_SPECIES
Cu 63.55 Cu.upf
H 1.01 H.upf
Se 78.96 Se.upf
F 19.00 F.upf
ATOMIC_POSITIONS crystal
Cu 0.000 0.000 0.000
H 0.000 0.000 0.500
Se 0.000 0.500 0.500
Se 0.500 0.000 0.500
F 0.500 0.500 0.000
CELL_PARAMETERS angstrom
3.996 0.000 0.000
0.000 3.996 0.000
0.000 0.000 4.344
```

Properties
The density of states at the Fermi level is 2.44 states/eV per cell. Its calculated total energy is -2.987 eV/atom. Its crystal system is tetragonal.

No. 5
DFT (GGA-PBE) results for VGe2B after structural relaxation. Values from VASP.

Cell and atoms, written as Quantum ESPRESSO input:
```
&SYSTEM
  ibrav = 0, nat = 8, ntyp = 3
/
ATOMIC_SPECIES
V 50.94 V.upf
Ge 72.64 Ge.upf
B 10.81 B.upf
ATOMIC_POSITIONS crystal
V 0.000 0.000 0.000
V 0.750 0.250 0.500
Ge 0.194 0.625 0.069
Ge 0.375 0.444 0.569
Ge 0.556 0.125 0.931
Ge 0.875 0.806 0.431
B 0.250 0.750 0.500
B 0.500 0.500 0.000
CELL_PARAMETERS angstrom
-3.250 3.250 2.668
3.250 -3.250 2.668
3.250 3.250 -2.668
```

Properties
The density of states at the Fermi level is 7.27 states/eV per cell. Its calculated total energy is -5.780 eV/atom. The formation energy is 478 meV per atom. Its crystal system is tetragonal.

No. 6
DFT (GGA-PBE) results for NiAgW2 after structural relaxation. Values from VASP.

Cell and atoms, written as Quantum ESPRESSO input:
```
&SYSTEM
  ibrav = 0, nat = 4, ntyp = 3
/
ATOMIC_SPECIES
Ni 58.69 Ni.upf
Ag 107.87 Ag.upf
W 183.84 W.upf
ATOMIC_POSITIONS crystal
Ni 0.000 0.000 0.000
Ag 0.252 0.252 0.252
W 0.495 0.495 0.495
W 0.740 0.740 0.740
CELL_PARAMETERS angstrom
1.394 0.805 9.208
-1.394 0.805 9.208
0.000 -1.610 9.208
```

Properties
The density of states at the Fermi level is 4.78 states/eV per cell. Its calculated total energy is -8.243 eV/atom. The formation energy is 392 meV per atom. Its crystal system is trigonal.

No. 7
DFT (GGA-PBE) results for Ba3HfIn after structural relaxation. Values from VASP.

Cell and atoms, written as Quantum ESPRESSO input:
```
&SYSTEM
  ibrav = 0, nat = 5, ntyp = 3
/
ATOMIC_SPECIES
Ba 137.33 Ba.upf
Hf 178.49 Hf.upf
In 114.82 In.upf
ATOMIC_POSITIONS crystal
Ba 0.000 0.000 0.500
Ba 0.000 0.500 0.000
Ba 0.500 0.000 0.000
Hf 0.000 0.000 0.000
In 0.500 0.500 0.500
CELL_PARAMETERS angstrom
6.292 0.000 0.000
0.000 6.292 0.000
0.000 0.000 6.292
```

Properties
The density of states at the Fermi level is 5.32 states/eV per cell. Its calculated total energy is -2.985 eV/atom. The formation energy is 707 meV per atom. Its crystal system is cubic.

No. 8
DFT (GGA-PBE) results for HoLu2Ni after structural relaxation. Values from VASP.

Cell and atoms, written as Quantum ESPRESSO input:
```
&SYSTEM
  ibrav = 0, nat = 4, ntyp = 3
/
ATOMIC_SPECIES
Ho 164.93 Ho.upf
Lu 174.97 Lu.upf
Ni 58.69 Ni.upf
ATOMIC_POSITIONS crystal
Ho 0.000 0.000 0.000
Lu 0.500 0.500 0.314
Lu 0.500 0.500 0.686
Ni 0.000 0.000 0.500
CELL_PARAMETERS angstrom
3.367 0.000 0.000
0.000 3.367 0.000
0.000 0.000 8.511
```

Properties
The density of states at the Fermi level is 4.57 states/eV per cell. Its calculated total energy is -5.063 eV/atom. The formation energy is -212 meV per atom. Its crystal system is tetragonal.

No. 9
DFT (GGA-PBE) results for ZrMn2BC after structural relaxation. Values from VASP.

Cell and atoms, written as Quantum ESPRESSO input:
```
&SYSTEM
  ibrav = 0, nat = 10, ntyp = 4
/
ATOMIC_SPECIES
Zr 91.22 Zr.upf
Mn 54.94 Mn.upf
B 10.81 B.upf
C 12.01 C.upf
ATOMIC_POSITIONS crystal
Zr 0.044 0.956 0.750
Zr 0.956 0.044 0.250
Mn 0.319 0.681 0.563
Mn 0.319 0.681 0.937
Mn 0.681 0.319 0.063
Mn 0.681 0.319 0.437
B 0.237 0.763 0.250
B 0.763 0.237 0.750
C 0.500 0.500 0.000
C 0.500 0.500 0.500
CELL_PARAMETERS angstrom
1.681 -4.964 0.000
1.681 4.964 0.000
0.000 0.000 6.522
```

Properties
The density of states at the Fermi level is 6.57 states/eV per cell. Its calculated total energy is -9.046 eV/atom. The formation energy is -488 meV per atom. Its crystal system is orthorhombic.

No. 10
DFT (GGA-PBE) results for Th3Be2Rh5 after structural relaxation. Values from VASP.

Cell and atoms, written as Quantum ESPRESSO input:
```
&SYSTEM
  ibrav = 0, nat = 20, ntyp = 3
/
ATOMIC_SPECIES
Th 232.04 Th.upf
Be 9.01 Be.upf
Rh 102.91 Rh.upf
ATOMIC_POSITIONS crystal
Th 0.000 0.000 0.000
Th 0.172 0.328 0.000
Th 0.328 0.828 0.000
Th 0.500 0.500 0.000
Th 0.672 0.172 0.000
Th 0.828 0.672 0.000
Be 0.120 0.620 0.000
Be 0.380 0.120 0.000
Be 0.620 0.880 0.000
Be 0.880 0.380 0.000
Rh 0.000 0.500 0.500
Rh 0.073 0.777 0.500
Rh 0.223 0.073 0.500
Rh 0.277 0.573 0.500
Rh 0.427 0.277 0.500
Rh 0.500 0.000 0.500
Rh 0.573 0.723 0.500
Rh 0.723 0.427 0.500
Rh 0.777 0.927 0.500
Rh 0.927 0.223 0.500
CELL_PARAMETERS angstrom
9.960 0.000 0.000
0.000 9.960 0.000
0.000 0.000 3.593
```

Properties
The density of states at the Fermi level is 8.83 states/eV per cell. Its calculated total energy is -7.450 eV/atom. The formation energy is -803 meV per atom. Its crystal system is tetragonal.

No. 11
DFT (GGA-PBE) results for MnFeH after structural relaxation. Values from VASP.

Cell and atoms, written as Quantum ESPRESSO input:
```
&SYSTEM
  ibrav = 0, nat = 6, ntyp = 3
/
ATOMIC_SPECIES
Mn 54.94 Mn.upf
Fe 55.84 Fe.upf
H 1.01 H.upf
ATOMIC_POSITIONS crystal
Mn 0.223 0.000 0.268
Mn 0.777 0.000 0.732
Fe 0.278 0.500 0.737
Fe 0.722 0.500 0.263
H 0.000 0.500 0.000
H 0.500 0.000 0.000
CELL_PARAMETERS angstrom
4.253 0.000 0.000
0.000 2.785 0.000
-0.587 0.000 4.249
```

Properties
The density of states at the Fermi level is 5.98 states/eV per cell. Its calculated total energy is -6.912 eV/atom. Its crystal system is monoclinic.

No. 12
DFT (GGA-PBE) results for Pm5Al4Pd after structural relaxation. Values from VASP.

Cell and atoms, written as Quantum ESPRESSO input:
```
&SYSTEM
  ibrav = 0, nat = 10, ntyp = 3
/
ATOMIC_SPECIES
Pm 145.00 Pm.upf
Al 26.98 Al.upf
Pd 106.42 Pd.upf
ATOMIC_POSITIONS crystal
Pm 0.000 0.000 0.000
Pm 0.000 0.000 0.202
Pm 0.000 0.000 0.405
Pm 0.000 0.000 0.595
Pm 0.000 0.000 0.798
Al 0.500 0.500 0.101
Al 0.500 0.500 0.303
Al 0.500 0.500 0.697
Al 0.500 0.500 0.899
Pd 0.500 0.500 0.500
CELL_PARAMETERS angstrom
3.678 0.000 0.000
0.000 3.678 0.000
0.000 0.000 18.404
```

Properties
The density of states at the Fermi level is 3.79 states/eV per cell. Its calculated total energy is -4.835 eV/atom. The formation energy is -443 meV per atom. Its crystal system is tetragonal.